Record 1
Entry from OQMD via LeMat-Bulk: an optimized crystal structure of LaPrAg2Bi4 (PBE-GGA).

The structure in POSCAR format:
```
LaPrAg2Bi4
1.0
4.608 0.000 0.000
0.000 4.608 0.000
0.000 0.000 10.571
Ag Bi La Pr
2 4 1 1
Cartesian
2.304 0.000 10.564
0.000 2.304 10.564
2.304 2.304 1.917
2.304 0.000 5.297
0.000 2.304 5.297
0.000 0.000 8.648
0.000 0.000 2.645
2.304 2.304 7.920
```

## Properties
SG: No. 99

Record 2
Entry from OQMD via LeMat-Bulk: an optimized crystal structure of LaPrAg2Bi2Sb2 (PBE-GGA).

The structure in POSCAR format:
```
LaPrAg2Bi2Sb2
1.0
-3.433 -0.673 2.866
-0.079 -4.380 -1.124
6.972 -2.141 7.850
Ag Bi La Pr Sb
2 2 1 1 2
Cartesian
5.249 -2.476 9.276
6.927 -4.329 7.281
1.781 -1.411 5.371
3.458 -3.264 3.375
-0.011 -3.063 2.836
5.224 -1.604 5.881
1.198 -0.368 1.349
4.012 -4.298 7.365
```

## Properties
SG: No. 99

Record 3
Entry from OQMD via LeMat-Bulk: an optimized crystal structure of LaAgBiSb (PBE-GGA).

The structure in POSCAR format:
```
LaAgBiSb
1.0
4.536 0.000 0.000
0.000 4.536 0.000
0.000 0.000 10.739
Ag Bi La Sb
2 2 2 2
Cartesian
0.000 0.000 0.000
2.268 2.268 0.000
0.000 0.000 5.369
2.268 2.268 5.369
2.268 0.000 2.680
0.000 2.268 8.059
0.000 2.268 1.838
2.268 0.000 8.900
```

## Properties
SG: No. 129

Record 4
Entry from OQMD via LeMat-Bulk: an optimized crystal structure of LaAgBiSb (PBE-GGA).

The structure in POSCAR format:
```
LaAgBiSb
1.0
4.563 0.000 0.000
0.000 4.563 0.000
0.000 0.000 10.588
Ag Bi La Sb
2 2 2 2
Cartesian
0.000 0.000 0.000
2.282 2.282 0.000
2.282 0.000 1.927
0.000 2.282 8.661
0.000 2.282 2.751
2.282 0.000 7.837
0.000 0.000 5.294
2.282 2.282 5.294
```

## Properties
SG: No. 129

Record 5
Entry from OQMD via LeMat-Bulk: an optimized crystal structure of LaSmAg2Bi2Sb2 (PBE-GGA).

The structure in POSCAR format:
```
LaSmAg2Bi2Sb2
1.0
-3.247 -3.010 -0.853
1.373 -0.266 -4.287
6.644 -7.910 2.620
Ag Bi La Sb Sm
2 2 1 2 1
Cartesian
5.005 -9.397 2.187
7.316 -8.025 0.470
1.723 -5.489 0.893
4.033 -4.117 -0.824
1.670 -1.989 0.659
0.204 -2.997 -2.120
5.479 -6.523 2.161
4.043 -7.567 -0.606
```

## Properties
SG: No. 99

Record 6
Entry from OQMD via LeMat-Bulk: an optimized crystal structure of LaSmAg2Bi4 (PBE-GGA).

The structure in POSCAR format:
```
LaSmAg2Bi4
1.0
4.602 0.000 0.000
0.000 4.602 0.000
0.000 0.000 10.539
Ag Bi La Sm
2 4 1 1
Cartesian
2.301 0.000 10.520
0.000 2.301 10.520
2.301 2.301 1.915
2.301 0.000 5.303
0.000 2.301 5.303
0.000 0.000 8.597
0.000 0.000 2.644
2.301 2.301 7.895
```

## Properties
SG: No. 99

One value per record, in order, for M_tot: 0.0, 0.0, 0.0, 0.0, 0.0, 0.0 Bohr magnetons per cell.
One value per record, in order, for DFT total energy: -36.128, -37.030, -37.436, -37.008, -36.828, -35.929 eV/cell.